(1)
Density functional theory data (PBE) for a relaxed Tb2DySc crystal.

Geometry as POSCAR:
```
Tb2DySc
1.0
-2.660 2.287 -0.006
-1.634 -1.907 -2.449
-4.432 -5.136 6.955
Sc Tb Dy
1 2 1
Direct
0.500 0.500 0.000
0.000 0.000 0.761
0.000 0.000 0.239
0.500 0.500 0.500
```

Computed properties:
**Energy above the most stable polymorph in this dataset**: 0.006 eV per atom
**D(E_F)**: 6.0 states/eV/cell
**Energy of formation**: 0.039 eV/atom
**Magnetic moment**: 0.00 μB/cell
**SG**: P4/mmm

=====

(2)
Density functional theory data (PBE) for a relaxed Tb7Dy12Sc crystal.

Geometry as POSCAR:
```
Tb7Dy12Sc
1.0
0.864 4.636 4.657
1.912 -9.172 5.633
10.382 -1.741 2.950
Tb Dy Sc
7 12 1
Direct
0.806 0.164 0.135
0.059 0.865 0.299
0.358 0.299 0.836
0.500 0.000 0.000
0.642 0.701 0.164
0.941 0.135 0.701
0.194 0.836 0.865
0.733 0.479 0.066
0.201 0.934 0.545
0.298 0.211 0.212
0.490 0.788 0.423
0.746 0.545 0.521
0.914 0.423 0.789
0.086 0.577 0.211
0.254 0.455 0.479
0.510 0.212 0.577
0.702 0.789 0.788
0.799 0.066 0.455
0.267 0.521 0.934
0.000 0.000 0.000
```

Computed properties:
**Energy above the most stable polymorph in this dataset**: 0.031 eV per atom
**D(E_F)**: 25.7 states/eV/cell
**Energy of formation**: 0.308 eV/atom
**Magnetic moment**: 0.00 μB/cell
**SG**: R-3